# Pr3Cu2Ru (PBE, relaxed)
data_Pr3Cu2Ru
_cell_length_a 4.2286
_cell_length_b 11.7950
_cell_length_c 11.9329
_cell_angle_alpha 90.00
_cell_angle_beta 90.00
_cell_angle_gamma 90.00
_space_group_name_H-M_alt 'P 1'
_space_group_IT_number 1
loop_
_space_group_symop_operation_xyz
'x,y,z'
loop_
_atom_site_label
_atom_site_fract_x
_atom_site_fract_y
_atom_site_fract_z
Pr1 0.2500 0.3765 0.0515
Pr2 0.7500 0.6235 0.9485
Pr3 0.7500 0.8765 0.4485
Pr4 0.2500 0.1235 0.5515
Pr5 0.2500 0.7077 0.2252
Pr6 0.7500 0.2923 0.7748
Pr7 0.7500 0.2077 0.2748
Pr8 0.2500 0.7923 0.7252
Pr9 0.2500 0.4455 0.3808
Pr10 0.7500 0.5545 0.6192
Pr11 0.7500 0.9455 0.1192
Pr12 0.2500 0.0545 0.8808
Cu1 0.2500 0.6897 0.4832
Cu2 0.7500 0.3103 0.5168
Cu3 0.7500 0.1897 0.0168
Cu4 0.2500 0.8103 0.9832
Cu5 0.2500 0.0039 0.3045
Cu6 0.7500 0.9961 0.6955
Cu7 0.7500 0.5039 0.1955
Cu8 0.2500 0.4961 0.8045
Ru1 0.2500 0.1347 0.1269
Ru2 0.7500 0.8653 0.8731
Ru3 0.7500 0.6347 0.3731
Ru4 0.2500 0.3653 0.6269
# final energy: -5.450 eV/atom
# space-group type: Pnma (62)

=====

# Pr7Cu2Ru2 (PBE, relaxed)
data_Pr7Cu2Ru2
_cell_length_a 6.9573
_cell_length_b 7.1633
_cell_length_c 6.9573
_cell_angle_alpha 90.00
_cell_angle_beta 112.77
_cell_angle_gamma 90.00
_space_group_name_H-M_alt 'P 1'
_space_group_IT_number 1
loop_
_space_group_symop_operation_xyz
'x,y,z'
loop_
_atom_site_label
_atom_site_fract_x
_atom_site_fract_y
_atom_site_fract_z
Pr1 0.9998 0.2663 0.5003
Pr2 0.5003 0.7337 0.9998
Pr3 0.0002 0.7337 0.4997
Pr4 0.4997 0.2663 0.0002
Pr5 0.0000 0.0000 0.0000
Pr6 0.5002 0.7432 0.4998
Pr7 0.4998 0.2568 0.5002
Cu1 0.8400 0.5000 0.8400
Cu2 0.1600 0.5000 0.1600
Ru1 0.6918 0.0000 0.3082
Ru2 0.3082 0.0000 0.6918
# final energy: -5.487 eV/atom
# space-group type: Cmmm (65)

=====

# Pr3Cu3Ru2 (PBE, relaxed)
data_Pr3Cu3Ru2
_cell_length_a 4.1885
_cell_length_b 5.7067
_cell_length_c 15.6616
_cell_angle_alpha 90.00
_cell_angle_beta 90.00
_cell_angle_gamma 111.53
_space_group_name_H-M_alt 'P 1'
_space_group_IT_number 1
loop_
_space_group_symop_operation_xyz
'x,y,z'
loop_
_atom_site_label
_atom_site_fract_x
_atom_site_fract_y
_atom_site_fract_z
Pr1 0.8679 0.7358 0.4115
Pr2 0.1321 0.2642 0.9115
Pr3 0.8679 0.7358 0.0885
Pr4 0.1321 0.2642 0.5885
Pr5 0.5874 0.1749 0.2500
Pr6 0.4126 0.8251 0.7500
Cu1 0.5827 0.1654 0.4476
Cu2 0.4173 0.8346 0.9476
Cu3 0.5827 0.1654 0.0524
Cu4 0.4173 0.8346 0.5524
Cu5 0.3019 0.6038 0.2500
Cu6 0.6981 0.3962 0.7500
Ru1 0.8319 0.6637 0.8831
Ru2 0.1681 0.3363 0.3831
Ru3 0.8319 0.6637 0.6169
Ru4 0.1681 0.3363 0.1169
# final energy: -5.741 eV/atom
# space-group type: Cmcm (63)

=====

# PrScCuRu (PBE, relaxed)
data_PrScCuRu
_cell_length_a 4.8312
_cell_length_b 4.8312
_cell_length_c 4.8312
_cell_angle_alpha 60.00
_cell_angle_beta 60.00
_cell_angle_gamma 60.00
_space_group_name_H-M_alt 'P 1'
_space_group_IT_number 1
loop_
_space_group_symop_operation_xyz
'x,y,z'
loop_
_atom_site_label
_atom_site_fract_x
_atom_site_fract_y
_atom_site_fract_z
Pr1 0.5000 0.5000 0.5000
Ru1 0.7500 0.7500 0.7500
Sc1 0.0000 0.0000 0.0000
Cu1 0.2500 0.2500 0.2500
# final energy: -6.329 eV/atom
# space-group type: F-43m (216)

=====

# PrSmCuRu (PBE, relaxed)
data_PrSmCuRu
_cell_length_a 5.0054
_cell_length_b 5.0054
_cell_length_c 5.0054
_cell_angle_alpha 60.00
_cell_angle_beta 60.00
_cell_angle_gamma 60.00
_space_group_name_H-M_alt 'P 1'
_space_group_IT_number 1
loop_
_space_group_symop_operation_xyz
'x,y,z'
loop_
_atom_site_label
_atom_site_fract_x
_atom_site_fract_y
_atom_site_fract_z
Pr1 0.5000 0.5000 0.5000
Ru1 0.2500 0.2500 0.2500
Cu1 0.7500 0.7500 0.7500
Sm1 0.0000 0.0000 0.0000
# final energy: -5.894 eV/atom
# relative energy among the computed polymorphs: 17 meV/atom
# space-group type: F-43m (216)

=====

# PrSmCuRu (PBE, relaxed)
data_PrSmCuRu
_cell_length_a 3.9797
_cell_length_b 4.3386
_cell_length_c 5.7206
_cell_angle_alpha 90.00
_cell_angle_beta 110.36
_cell_angle_gamma 90.00
_space_group_name_H-M_alt 'P 1'
_space_group_IT_number 1
loop_
_space_group_symop_operation_xyz
'x,y,z'
loop_
_atom_site_label
_atom_site_fract_x
_atom_site_fract_y
_atom_site_fract_z
Pr1 0.1436 0.0000 0.2871
Sm1 0.8628 0.5000 0.7256
Cu1 0.5694 0.5000 0.1387
Ru1 0.4243 0.0000 0.8485
# final energy: -5.910 eV/atom
# relative energy among the computed polymorphs: 0 meV/atom
# space-group type: Amm2 (38)

=====

# TbPrCuRu (PBE, relaxed)
data_TbPrCuRu
_cell_length_a 3.9390
_cell_length_b 4.3054
_cell_length_c 5.6953
_cell_angle_alpha 90.00
_cell_angle_beta 110.23
_cell_angle_gamma 90.00
_space_group_name_H-M_alt 'P 1'
_space_group_IT_number 1
loop_
_space_group_symop_operation_xyz
'x,y,z'
loop_
_atom_site_label
_atom_site_fract_x
_atom_site_fract_y
_atom_site_fract_z
Tb1 0.8637 0.5000 0.7275
Pr1 0.1454 0.0000 0.2907
Cu1 0.5690 0.5000 0.1379
Ru1 0.4219 0.0000 0.8439
# final energy: -5.914 eV/atom
# relative energy among the computed polymorphs: 0 meV/atom
# space-group type: Amm2 (38)

=====

# TbPrCuRu (PBE, relaxed)
data_TbPrCuRu
_cell_length_a 4.9668
_cell_length_b 4.9668
_cell_length_c 4.9668
_cell_angle_alpha 60.00
_cell_angle_beta 60.00
_cell_angle_gamma 60.00
_space_group_name_H-M_alt 'P 1'
_space_group_IT_number 1
loop_
_space_group_symop_operation_xyz
'x,y,z'
loop_
_atom_site_label
_atom_site_fract_x
_atom_site_fract_y
_atom_site_fract_z
Pr1 0.0000 0.0000 0.0000
Ru1 0.7500 0.7500 0.7500
Tb1 0.5000 0.5000 0.5000
Cu1 0.2500 0.2500 0.2500
# final energy: -5.905 eV/atom
# relative energy among the computed polymorphs: 10 meV/atom
# space-group type: F-43m (216)

=====

# PrThCuRu (PBE, relaxed)
data_PrThCuRu
_cell_length_a 5.0501
_cell_length_b 5.0501
_cell_length_c 5.0501
_cell_angle_alpha 60.00
_cell_angle_beta 60.00
_cell_angle_gamma 60.00
_space_group_name_H-M_alt 'P 1'
_space_group_IT_number 1
loop_
_space_group_symop_operation_xyz
'x,y,z'
loop_
_atom_site_label
_atom_site_fract_x
_atom_site_fract_y
_atom_site_fract_z
Pr1 0.0000 0.0000 0.0000
Ru1 0.2500 0.2500 0.2500
Cu1 0.7500 0.7500 0.7500
Th1 0.5000 0.5000 0.5000
# final energy: -6.564 eV/atom
# space-group type: F-43m (216)

=====

# PrTmCuRu (PBE, relaxed)
data_PrTmCuRu
_cell_length_a 4.9270
_cell_length_b 4.9270
_cell_length_c 4.9270
_cell_angle_alpha 60.00
_cell_angle_beta 60.00
_cell_angle_gamma 60.00
_space_group_name_H-M_alt 'P 1'
_space_group_IT_number 1
loop_
_space_group_symop_operation_xyz
'x,y,z'
loop_
_atom_site_label
_atom_site_fract_x
_atom_site_fract_y
_atom_site_fract_z
Pr1 0.5000 0.5000 0.5000
Ru1 0.2500 0.2500 0.2500
Tm1 0.0000 0.0000 0.0000
Cu1 0.7500 0.7500 0.7500
# final energy: -5.889 eV/atom
# space-group type: F-43m (216)

=====

# PrYCuRu (PBE, relaxed)
data_PrYCuRu
_cell_length_a 3.9974
_cell_length_b 4.2443
_cell_length_c 5.7138
_cell_angle_alpha 90.00
_cell_angle_beta 110.48
_cell_angle_gamma 90.00
_space_group_name_H-M_alt 'P 1'
_space_group_IT_number 1
loop_
_space_group_symop_operation_xyz
'x,y,z'
loop_
_atom_site_label
_atom_site_fract_x
_atom_site_fract_y
_atom_site_fract_z
Pr1 0.1459 0.0000 0.2919
Y1 0.8630 0.5000 0.7260
Cu1 0.5686 0.5000 0.1373
Ru1 0.4224 0.0000 0.8448
# final energy: -6.367 eV/atom
# relative energy among the computed polymorphs: 0 meV/atom
# space-group type: Amm2 (38)

=====

# PrYCuRu (PBE, relaxed)
data_PrYCuRu
_cell_length_a 4.9664
_cell_length_b 4.9664
_cell_length_c 4.9664
_cell_angle_alpha 60.00
_cell_angle_beta 60.00
_cell_angle_gamma 60.00
_space_group_name_H-M_alt 'P 1'
_space_group_IT_number 1
loop_
_space_group_symop_operation_xyz
'x,y,z'
loop_
_atom_site_label
_atom_site_fract_x
_atom_site_fract_y
_atom_site_fract_z
Pr1 0.0000 0.0000 0.0000
Ru1 0.7500 0.7500 0.7500
Y1 0.5000 0.5000 0.5000
Cu1 0.2500 0.2500 0.2500
# final energy: -6.361 eV/atom
# relative energy among the computed polymorphs: 6 meV/atom
# space-group type: F-43m (216)

=====

no.,formation enthalpy at 0 K (eV per atom)
1,-0.149
2,-0.014
3,-0.093
4,-0.209
5,-0.176
6,-0.193
7,-0.219
8,-0.209
9,-0.172
10,-0.233
11,-0.213
12,-0.207